Below is crystalline TcRu3C at its relaxed geometry, with properties calculated at the GGA-PBE level.

- Raw total energy: -9.09 eV per atom
- E above lowest polymorph: 0.0000 eV per atom
- Density of states at the Fermi level: 4.6 states/eV per cell
- Symmetry: Pm-3m (221)
- Magnetization: 1.89 μB/cell
- Theoretical density: 10.5 Mg/m³
- Formation enthalpy at 0 K: 0.388 eV/atom

```
data_TcRu3C
_chemical_formula_sum 'Tc1 Ru3 C1'
_cell_length_a 4.025
_cell_length_b 4.025
_cell_length_c 4.025
_cell_angle_alpha 90.00
_cell_angle_beta 90.00
_cell_angle_gamma 90.00
_symmetry_space_group_name_H-M 'P 1'
_symmetry_Int_Tables_number 1
loop_
_symmetry_equiv_pos_as_xyz
'x,y,z'
loop_
_atom_site_label
_atom_site_fract_x
_atom_site_fract_y
_atom_site_fract_z
Tc1 0.500 0.500 0.500
Ru1 0.000 0.000 0.500
Ru2 0.500 0.000 0.000
C1 0.000 0.000 0.000
Ru3 0.000 0.500 0.000
```